This record from Alexandria via LeMat-Bulk describes Pm2Y12Sc after structural relaxation. The functional is PBE.

Calculated values
Total moment, μB/f.u.: 0.00

```
30
Lattice="3.536 -5.678 0.000 3.536 5.678 0.000 0.000 0.000 24.694" Properties=species:S:1:pos:R:3 pbc="T T T"
Pm 3.536 2.839 5.805
Pm 3.536 2.839 18.894
Pm 3.536 -2.839 5.800
Pm 3.536 -2.839 18.890
Y 3.536 -5.678 10.553
Y 3.536 5.678 14.141
Y 1.772 2.839 2.130
Y 5.304 -2.839 9.339
Y 1.768 2.839 15.355
Y 5.301 -2.839 22.564
Y 3.536 5.672 23.159
Y 1.768 0.000 4.315
Y 1.768 0.000 7.521
Y 1.768 0.000 17.173
Y 1.768 0.000 20.379
Y 3.536 0.007 23.159
Y 5.301 2.839 2.130
Y 1.768 -2.839 9.339
Y 5.304 2.839 15.355
Y 1.772 -2.839 22.564
Y 3.536 0.000 10.553
Y 3.536 0.000 14.141
Y 3.536 -0.007 1.536
Y 5.304 0.000 4.315
Y 5.304 0.000 7.521
Y 5.304 0.000 17.173
Y 5.304 0.000 20.379
Y 3.536 -5.672 1.536
Sc 3.536 2.839 12.347
Sc 3.536 -2.839 12.348
```


This record from Alexandria via LeMat-Bulk describes Pm7Y12Sc after structural relaxation. The functional is PBE.

Calculated values
Total moment, μB/f.u.: 0.00
ΔE to the lowest computed polymorph, meV per atom: 504.9

```
20
Lattice="-5.651 5.651 5.651 5.651 -5.651 5.651 5.651 5.651 -5.651" Properties=species:S:1:pos:R:3 pbc="T T T"
Pm 2.826 2.826 -2.826
Pm 2.826 -2.826 2.826
Pm 5.651 0.000 0.000
Pm -2.826 2.826 2.826
Pm 0.000 5.651 0.000
Pm 0.000 0.000 5.651
Pm 2.826 2.826 2.826
Y 5.651 2.890 -2.890
Y 5.651 -2.890 2.890
Y 2.890 5.651 -2.890
Y 2.761 2.761 0.000
Y 2.761 0.000 2.761
Y 2.890 -2.890 5.651
Y 0.000 2.761 2.761
Y 5.651 2.890 2.890
Y -2.890 5.651 2.890
Y -2.890 2.890 5.651
Y 2.890 5.651 2.890
Y 2.890 2.890 5.651
Sc 0.000 0.000 0.000
```


This record from Alexandria via LeMat-Bulk describes PmY6Sc4 after structural relaxation. The functional is PBE.

Calculated values
Total moment, μB/f.u.: 0.00

```
11
Lattice="8.716 0.000 0.000 -4.358 7.548 0.000 0.000 0.000 5.285" Properties=species:S:1:pos:R:3 pbc="T T T"
Pm 0.000 0.000 0.000
Y -1.740 4.027 0.000
Y 2.612 1.508 2.642
Y 1.740 4.027 0.000
Y 0.000 7.041 0.000
Y 6.103 1.508 2.642
Y 4.358 4.531 2.642
Sc 0.000 3.235 2.642
Sc -1.556 5.930 2.642
Sc 1.556 5.930 2.642
Sc 4.358 2.516 0.000
```


This record from Alexandria via LeMat-Bulk describes PmY2Sc2 after structural relaxation. The functional is PBE.

Calculated values
Total moment, μB/f.u.: 0.00
ΔE to the lowest computed polymorph, meV per atom: 401.2

```
10
Lattice="0.000 5.571 10.578 2.861 0.000 10.578 2.861 5.571 0.000" Properties=species:S:1:pos:R:3 pbc="T T T"
Pm 0.715 1.393 2.644
Pm 5.006 9.750 18.511
Y 2.145 2.343 7.933
Y 3.576 5.129 13.222
Y 2.145 6.014 7.933
Y 3.576 8.800 13.222
Sc 0.000 0.000 0.000
Sc 1.430 2.786 0.000
Sc 1.430 0.000 5.289
Sc 0.000 2.786 5.289
```


This record from Alexandria via LeMat-Bulk describes Pm7Y2Sc2 after structural relaxation. The functional is PBE.

Calculated values
Total moment, μB/f.u.: 0.00
ΔE to the lowest computed polymorph, meV per atom: 5.0

```
11
Lattice="-1.796 8.793 5.746 1.796 -8.793 5.746 1.796 8.793 -5.746" Properties=species:S:1:pos:R:3 pbc="T T T"
Pm 0.000 0.000 0.000
Pm 1.796 -3.345 3.176
Pm 1.796 5.966 0.367
Pm 1.796 3.345 3.176
Pm 0.000 6.563 3.472
Pm 0.000 2.826 6.113
Pm 0.000 11.022 3.472
Y 0.000 0.000 3.626
Y 0.000 8.793 0.903
Sc 0.000 3.185 0.341
Sc 0.000 14.401 0.341
```


This record from Alexandria via LeMat-Bulk describes Pm3Y8Sc2 after structural relaxation. The functional is PBE.

Calculated values
Total moment, μB/f.u.: 0.00
ΔE to the lowest computed polymorph, meV per atom: 115.4

```
13
Lattice="7.163 -4.604 0.000 7.163 4.604 0.000 -2.121 0.000 6.539" Properties=species:S:1:pos:R:3 pbc="T T T"
Pm 0.000 0.000 0.000
Pm 6.103 2.992 3.269
Pm 6.103 -2.992 3.269
Y 3.596 1.692 5.414
Y 2.163 0.000 2.794
Y 5.373 0.000 1.767
Y 8.609 1.692 1.124
Y 3.596 -1.692 5.414
Y 6.832 0.000 4.772
Y 10.042 0.000 3.745
Y 8.609 -1.692 1.124
Sc 0.815 0.000 5.865
Sc 11.391 0.000 0.674
```


This record from Alexandria via LeMat-Bulk describes Pm7Y2Sc2 after structural relaxation. The functional is PBE.

Calculated values
Total moment, μB/f.u.: 0.00
ΔE to the lowest computed polymorph, meV per atom: 0.0

```
11
Lattice="5.467 -5.772 0.000 5.467 5.772 0.000 -2.212 0.000 5.673" Properties=species:S:1:pos:R:3 pbc="T T T"
Pm 0.000 0.000 0.000
Pm 1.704 3.033 4.595
Pm 7.018 3.033 1.078
Pm 4.159 0.000 1.161
Pm 4.563 0.000 4.512
Pm 1.704 -3.033 4.595
Pm 7.018 -3.033 1.078
Y 1.014 0.000 3.323
Y 7.708 0.000 2.350
Sc 4.361 3.160 2.837
Sc 4.361 -3.160 2.837
```


This record from Alexandria via LeMat-Bulk describes Pm8Y2Sc3 after structural relaxation. The functional is PBE.

Calculated values
Total moment, μB/f.u.: 0.00
ΔE to the lowest computed polymorph, meV per atom: 0.0

```
13
Lattice="6.670 -5.704 0.000 6.670 5.704 0.000 -2.287 0.000 5.504" Properties=species:S:1:pos:R:3 pbc="T T T"
Pm 0.556 0.000 1.395
Pm 2.667 2.677 4.705
Pm 3.969 0.000 2.116
Pm 8.385 2.677 0.799
Pm 2.667 -2.677 4.705
Pm 7.083 0.000 3.389
Pm 8.385 -2.677 0.799
Pm 10.496 0.000 4.109
Y 0.570 0.000 4.518
Y 10.482 0.000 0.986
Sc 5.526 3.069 2.752
Sc 6.670 0.000 0.000
Sc 5.526 -3.069 2.752
```


no.,formation energy (kJ per mole of atoms)
1,16.66
2,64.80
3,30.20
4,50.89
5,14.66
6,23.82
7,14.18
8,17.84